Record 1
The following is a GGA-PBE calculation of crystalline Sn3Bi2Pb2 at its relaxed geometry, from the Alexandria database.

**Crystal system**: monoclinic
**Magnetic moment**: 0.0000 μB/atom
**Raw total energy**: -3.821 eV per atom
**SG**: C2/m (12)
**Formation enthalpy at 0 K**: 0.063 eV per atom

abc: 6.0821 6.0821 7.7131
angles: 95.90 95.90 48.25
Sites, in units of the cell vectors:
Sn 0.0000 0.0000 0.0000
Sn 0.1386 0.1386 0.4243
Sn 0.8614 0.8614 0.5757
Bi 0.2882 0.2882 0.8437
Bi 0.7118 0.7118 0.1563
Pb 0.4254 0.4254 0.2841
Pb 0.5746 0.5746 0.7159


Record 2
The following is a GGA-PBE calculation of crystalline Tl4SnBr5 at its relaxed geometry, from the Alexandria database.

**Crystal system**: tetragonal
**Magnetic moment**: 0.0000 μB/atom
**Energy relative to the elements, uncorrected**: -66.3 kJ/mol of atoms
**Raw total energy**: -2.870 eV per atom
**SG**: I4 (79)

abc: 8.1510 8.1510 8.1510
angles: 99.83 99.83 131.19
Sites, in units of the cell vectors:
Tl 0.0894 0.2997 0.3892
Tl 0.2997 0.9106 0.2103
Tl 0.7003 0.0894 0.7897
Tl 0.9106 0.7003 0.6108
Sn 0.4957 0.4957 0.0000
Br 0.2246 0.6000 0.8252
Br 0.3994 0.2246 0.6246
Br 0.6000 0.7748 0.3754
Br 0.7748 0.3994 0.1748
Br 0.9898 0.9898 0.0000


Record 3
The following is a GGA-PBE calculation of crystalline Ta2CoReTc at its relaxed geometry, from the Alexandria database.

**Crystal system**: tetragonal
**Magnetic moment**: 0.0000 μB/atom
**Raw total energy**: -9.666 eV per atom
**SG**: P4/mmm (123)
**Formation enthalpy at 0 K**: 1.059 eV per atom

abc: 4.5385 4.5385 4.2545
angles: 90.00 90.00 90.00
Sites, in units of the cell vectors:
Ta 0.0000 0.5000 0.0000
Ta 0.5000 0.0000 0.0000
Co 0.0000 0.0000 0.0000
Re 0.5000 0.5000 0.5000
Tc 0.0000 0.0000 0.5000


What Fermi-level density of states values result from the calculations? In sequence: 3.2; 2.9; 6.1 states/eV per cell.